# 1
! NaCdN2, relaxed, DFT GGA-PBE; values from VASP
! Volume   151.35 Å³/cell
! Magnetization   0.750 μB per atom
! Formation energy from raw total energies   1.25 eV/atom
&SYSTEM
  ibrav = 0, nat = 8, ntyp = 3
/
ATOMIC_SPECIES
Na 22.99 Na.upf
Cd 112.41 Cd.upf
N 14.01 N.upf
CELL_PARAMETERS angstrom
-2.5720 2.5720 5.7200
2.5720 -2.5720 5.7200
2.5720 2.5720 -5.7200
ATOMIC_POSITIONS crystal
Na 0.0000 0.0000 0.0000
Na 0.7500 0.2500 0.5000
Cd 0.2500 0.7500 0.5000
Cd 0.5000 0.5000 0.0000
N 0.1655 0.6250 0.0405
N 0.3750 0.4155 0.5405
N 0.5845 0.1250 0.9595
N 0.8750 0.8345 0.4595

# 2
! LiPdO, relaxed, DFT GGA-PBE; values from VASP
! Excess energy over the best structure of this formula in the dataset   173 meV per atom
! Volume   67.09 Å³/cell
! Magnetization   0.000 μB per atom
! Formation energy from raw total energies   -0.32 eV/atom
&SYSTEM
  ibrav = 0, nat = 6, ntyp = 3
/
ATOMIC_SPECIES
Li 6.94 Li.upf
Pd 106.42 Pd.upf
O 16.00 O.upf
CELL_PARAMETERS angstrom
-1.4075 1.8855 6.3198
1.4075 -1.8855 6.3198
1.4075 1.8855 -6.3198
ATOMIC_POSITIONS crystal
Li 0.2422 0.0000 0.2422
Li 0.7578 0.0000 0.7578
Pd 0.3491 0.3491 0.0000
Pd 0.6509 0.6509 0.0000
O 0.1305 0.1305 0.0000
O 0.8695 0.8695 0.0000